1.
A geometry-optimized ZnH2Os structure. Source: Alexandria via LeMat-Bulk, functional PBE-GGA.

## Properties
spin magnetization: 0.00 μB/f.u.

```
4
Lattice="0.000 2.594 2.594 2.594 0.000 2.594 2.594 2.594 0.000" Properties=species:S:1:pos:R:3 pbc="T T T"
H 1.297 1.297 1.297
H 3.891 3.891 3.891
Zn 0.000 0.000 0.000
Os 2.594 2.594 2.594
```

2.
A geometry-optimized ZnH2Os structure. Source: Alexandria via LeMat-Bulk, functional PBE-GGA.

## Properties
spin magnetization: 0.00 μB/f.u.

```
8
Lattice="-2.280 1.140 3.215 -0.709 -3.941 0.894 2.046 -1.463 4.588" Properties=species:S:1:pos:R:3 pbc="T T T"
H -1.066 -0.114 3.358
H -0.152 -2.718 2.017
H 0.434 -2.036 4.956
H -1.101 -3.659 7.061
Zn -1.495 -1.400 2.054
Zn -0.079 -3.402 3.768
Os 0.000 0.000 0.000
Os -0.864 -0.862 4.928
```

2 is the most stable structure shown above.